Here is RbLi3As after structural relaxation from Alexandria via LeMat-Bulk. Energies are from PBE.

It has space group Pm-3m (No. 221), with a = 5.099 Å, b = 5.099 Å, c = 5.099 Å, α = 90.00°, β = 90.00° and γ = 90.00°. The distinct sites, in fractional coordinates, are Rb at (0.000, 0.000, 0.000), Li at (0.000, 0.500, 0.500) and As at (0.500, 0.500, 0.500).

Its offset from the most stable computed form is 0.00 eV per formula unit. The calculation puts the magnetization at 0.0 μB/f.u. The total energy is -2.629 eV per atom. The calculation puts the formation energy at -1.79 eV per formula unit.